La8POs3I4: relaxed, PBE.

Cell: 8.5884 9.5237 8.5853 Å, 116.74 120.01 90.00°
Atoms (fractional coordinates):
Os 0.5000 0.5000 0.5000
Os 0.5000 0.5000 0.0000
Os 0.0000 0.5000 0.5000
La 0.2854 0.3176 0.0515
La 0.7146 0.6824 0.9485
La 0.2339 0.6824 0.9485
La 0.7311 0.6934 0.4621
La 0.2689 0.3066 0.5379
La 0.7661 0.3176 0.0515
La 0.7662 0.3178 0.5324
La 0.2338 0.6822 0.4676
I 0.5000 0.0000 0.0000
I 0.5000 0.0000 0.5000
I 0.0000 0.0000 0.0000
I 0.0000 0.0000 0.5000
P 0.0000 0.5000 0.0000

Results
Its calculated total energy is -6.17 eV/atom.